Entry from OQMD via LeMat-Bulk: an optimized crystal structure of TbPrMg2 (GGA-PBE).

Results
ρ (g/cm³): 5.1
Crystal system: cubic
Size of the total moment (μB per cell): 0.03
Total energy (hartree per atom): -0.119

a = 7.7013 Å, b = 7.7013 Å, c = 7.7013 Å
α = 90.00°, β = 90.00°, γ = 90.00°
With the nearest neighbours (Å) after each atom.
Space group Fm-3m (No. 225)
Asymmetric unit:
Tb1 0.0000 0.0000 0.0000  8 Mg 3.33
Pr1 0.0000 0.0000 0.5000  8 Mg 3.33
Mg1 0.2500 0.2500 0.2500  4 Pr 3.33, 4 Tb 3.33